The following is a DFT calculation (PBE) of Nd3ScTl2 after structural relaxation.

abc: 9.073 9.073 9.073
angles: 150.39 149.78 42.82
Positions (direct):
1 Nd 0.000 0.000 0.000
2 Nd 0.176 0.676 0.500
3 Nd 0.824 0.324 0.500
4 Sc 0.500 0.500 0.000
5 Tl 0.366 0.866 0.500
6 Tl 0.634 0.134 0.500

Properties
M_tot   0.000 μB per atom
DOS at the Fermi energy   6.57 states/eV/f.u.
Energy   -26.828 eV for the cell shown


The following is a DFT calculation (PBE) of Pm5Ge2Rh after structural relaxation.

abc: 9.213 9.213 9.213
angles: 32.53 32.53 32.53
Positions (direct):
1 Pm 0.000 0.000 0.000
2 Pm 0.129 0.129 0.129
3 Pm 0.273 0.273 0.273
4 Pm 0.727 0.727 0.727
5 Pm 0.871 0.871 0.871
6 Ge 0.397 0.397 0.397
7 Ge 0.603 0.603 0.603
8 Rh 0.500 0.500 0.500

Properties
M_tot   0.007 μB per atom
DOS at the Fermi energy   9.35 states/eV/f.u.
Energy   -44.323 eV for the cell shown


The following is a DFT calculation (PBE) of LiMgBiIr after structural relaxation.

abc: 4.674 4.674 4.674
angles: 60.00 60.00 60.00
Positions (direct):
1 Li 0.000 0.000 0.000
2 Mg 0.250 0.250 0.250
3 Bi 0.750 0.750 0.750
4 Ir 0.500 0.500 0.500

Properties
M_tot   0.000 μB per atom
DOS at the Fermi energy   2.55 states/eV/f.u.
Energy   -17.270 eV for the cell shown


The following is a DFT calculation (PBE) of Ac3Cd2In3 after structural relaxation.

abc: 10.253 10.253 5.446
angles: 105.13 105.13 27.09
Positions (direct):
1 Ac 0.000 0.000 0.000
2 Ac 0.140 0.140 0.637
3 Ac 0.860 0.860 0.363
4 Cd 0.240 0.240 0.236
5 Cd 0.760 0.760 0.764
6 In 0.361 0.361 0.864
7 In 0.500 0.500 0.500
8 In 0.639 0.639 0.136

Properties
M_tot   0.000 μB per atom
DOS at the Fermi energy   4.24 states/eV/f.u.
Energy   -25.074 eV for the cell shown